An optimized crystal structure of ZnReP2. Source: the Alexandria database, functional PBE-GGA.

Computed properties:
The density of states at the Fermi level comes out at 2.12 states/eV/f.u. The space-group type is No. 216. For the electronic total energy, the calculation gives -5.426 eV per atom.

abc: 4.3064 4.3064 4.3064
angles: 60.00 60.00 60.00
Element x y z (fractional)
P  0.0000  0.0000  0.0000
P  0.2500  0.2500  0.2500
Re  0.5000  0.5000  0.5000
Zn  0.7500  0.7500  0.7500



An optimized crystal structure of Ac2LaPm3. Source: the Alexandria database, functional PBE-GGA.

Computed properties:
The density of states at the Fermi level comes out at 9.62 states/eV/f.u. The space-group type is No. 12. For the electronic total energy, the calculation gives -4.543 eV per atom.

abc: 10.8174 10.8174 18.3175
angles: 39.36 39.36 20.35
Element x y z (fractional)
La  0.4299  0.4299  0.6509
La  0.5701  0.5701  0.3491
Pm  0.0689  0.0689  0.8506
Pm  0.3211  0.3211  0.0990
Pm  0.9311  0.9311  0.1494
Pm  0.1847  0.1847  0.3975
Pm  0.6789  0.6789  0.9010
Pm  0.8153  0.8153  0.6025
Ac  0.1254  0.1254  0.1227
Ac  0.8746  0.8746  0.8773
Ac  0.3754  0.3754  0.3752
Ac  0.6246  0.6246  0.6248



An optimized crystal structure of HoCrMo. Source: the Alexandria database, functional PBE-GGA.

Computed properties:
The density of states at the Fermi level comes out at 2.86 states/eV/f.u. The space-group type is No. 69. For the electronic total energy, the calculation gives -7.951 eV per atom.

abc: 4.9331 4.9331 5.6273
angles: 105.64 105.64 112.65
Element x y z (fractional)
Cr  0.2500  0.7500  0.5000
Cr  0.7500  0.2500  0.5000
Mo  0.8242  0.8242  0.6484
Mo  0.1758  0.1758  0.3516
Ho  0.6767  0.3233  0.0000
Ho  0.3233  0.6767  0.0000



An optimized crystal structure of Pu5In3Hg3. Source: the Alexandria database, functional PBE-GGA.

Computed properties:
The density of states at the Fermi level comes out at 43.14 states/eV/f.u. The space-group type is No. 189. For the electronic total energy, the calculation gives -7.143 eV per atom.

abc: 3.0411 10.7122 10.7122
angles: 120.00 90.00 90.00
Last column: magnetic moment on the atom in μB.
Element x y z (fractional)
Pu  0.5000  0.6575  0.6575  -5.75
Pu  0.5000  0.3425  0.0000  -5.75
Pu  0.5000  0.6667  0.3333  5.75
Pu  0.5000  0.0000  0.3425  -5.75
Pu  0.5000  0.3333  0.6667  5.75
Hg  0.0000  0.4032  0.4032  -0.01
Hg  0.0000  0.0000  0.5968  -0.01
Hg  0.0000  0.5968  0.0000  -0.01
In  0.5000  0.8371  0.0000  -0.02
In  0.5000  0.1629  0.1629  -0.02
In  0.5000  0.0000  0.8371  -0.02



An optimized crystal structure of CsAcI2O8. Source: the Alexandria database, functional PBE-GGA.

Computed properties:
The value obtained for the uncorrected formation energy is -1.057 eV per atom. The density of states at the Fermi level comes out at 1.08 states/eV/f.u. The space-group type is No. 148. For the electronic total energy, the calculation gives -5.035 eV per atom.

abc: 6.3608 6.3608 8.7211
angles: 68.61 68.61 60.00
Last column: magnetic moment on the atom in μB.
Element x y z (fractional)
I  0.2614  0.2614  0.2157  0.11
I  0.7386  0.7386  0.7843  0.11
O  0.4123  0.7599  0.8259  0.21
O  0.2401  0.9981  0.1741  0.21
O  0.1860  0.1860  0.4421  0.03
O  0.0019  0.4123  0.8259  0.21
O  0.9981  0.5877  0.1741  0.21
O  0.7599  0.0019  0.8259  0.21
O  0.8140  0.8140  0.5579  0.03
O  0.5877  0.2401  0.1741  0.21
Cs  0.5000  0.5000  0.5000  0.00
Ac  0.0000  0.0000  0.0000  0.03



An optimized crystal structure of TiCdPtRh. Source: the Alexandria database, functional PBE-GGA.

Computed properties:
The density of states at the Fermi level comes out at 1.78 states/eV/f.u. The space-group type is No. 99. For the electronic total energy, the calculation gives -6.193 eV per atom.

abc: 3.0959 3.0959 6.8929
angles: 90.00 90.00 90.00
Element x y z (fractional)
Rh  0.5000  0.5000  0.3578
Ti  0.0000  0.0000  0.5623
Cd  0.0000  0.0000  0.0760
Pt  0.5000  0.5000  0.7886



What is the formula in the fifth record? CsAcI2O8



Which value of electronic total energy does entry 1 give? -5.426 eV per atom



Among the records above, which one has the highest electronic total energy? Ac2LaPm3